# 1
Computed, not measured: Ba3PtI3 after structural relaxation at the GGA-PBE level of DFT.

Cell lengths 13.750, 13.750, 13.750 Å; angles 90.00, 90.00, 90.00 degrees
Space group I4_132 (No. 214)
Asymmetric unit:
Ba: 0.112 0.362 0.125 [24 per cell]
Pt: 0.125 0.125 0.125 [8 per cell]
I: 0.121 0.129 0.625 [24 per cell]

## Properties
For the formation energy without anion corrections, the calculation gives -9.6 eV per formula unit.



# 2
Computed, not measured: Ac2CdCu3 after structural relaxation at the GGA-PBE level of DFT.

Cell lengths 8.326, 9.196, 15.656 Å; angles 90.00, 90.00, 90.00 degrees
Space group Fmmm (No. 69)
Asymmetric unit:
Ac: 0.239 0.000 0.000 [8 per cell]
Ac: 0.250 0.250 0.250 [8 per cell]
Cd: 0.000 0.000 0.335 [8 per cell]
Cu: 0.000 0.000 0.161 [8 per cell]
Cu: 0.000 0.242 0.081 [16 per cell]

## Properties
The formation energy from the elements comes out at -182.8 meV per atom. The calculation puts the energy above the most stable polymorph in this dataset at 6 meV per atom.



# 3
Computed, not measured: Nd2Sn3BiRh4 after structural relaxation at the GGA-PBE level of DFT.

Cell lengths 4.507, 4.507, 10.959 Å; angles 90.00, 90.00, 90.00 degrees
Space group P-4m2 (No. 115)
Asymmetric unit:
Nd: 0.000 0.500 0.243 [2 per cell]
Sn: 0.000 0.500 0.873 [2 per cell]
Sn: 0.500 0.500 0.500 [1 per cell]
Bi: 0.000 0.000 0.500 [1 per cell]
Rh: 0.000 0.000 0.000 [1 per cell]
Rh: 0.000 0.500 0.638 [2 per cell]
Rh: 0.500 0.500 0.000 [1 per cell]

## Properties
The formation energy from the elements comes out at -635.9 meV per atom.